# 1
AlRh2C: optimized geometry, GGA-PBE.

abc: 5.8767 5.8767 5.8767
angles: 126.93 126.93 78.36
Last column: nearest neighbours and their distance in Å.
Fractional coordinates of all 8 atoms:
1 Al 0.0000 0.0000 0.0000  4 Rh 2.48
2 Al 0.7500 0.2500 0.5000  4 Rh 2.48
3 Rh 0.2110 0.6250 0.0860  2 C 1.94
4 Rh 0.3750 0.4610 0.5860  2 C 1.94
5 Rh 0.5390 0.1250 0.9140  2 C 1.94
6 Rh 0.8750 0.7890 0.4140  2 C 1.94
7 C 0.2500 0.7500 0.5000  4 Rh 1.94
8 C 0.5000 0.5000 0.0000  4 Rh 1.94

Calculated values
energy of formation: 0.7 eV/f.u.
space group: I-42d
total magnetic moment: 0.00 μB/atom
DOS(E_F): 0.65 states/eV/atom



# 2
Al3BiS: optimized geometry, GGA-PBE.

abc: 4.8602 4.8602 4.8602
angles: 90.00 90.00 90.00
Last column: nearest neighbours and their distance in Å.
Fractional coordinates of all 5 atoms:
1 Al 0.0000 0.0000 0.5000  2 S 2.43
2 Al 0.0000 0.5000 0.0000  2 S 2.43
3 Al 0.5000 0.0000 0.0000  2 S 2.43
4 Bi 0.5000 0.5000 0.5000  12 Al 3.44
5 S 0.0000 0.0000 0.0000  6 Al 2.43

Calculated values
space group: Pm-3m
total magnetic moment: 0.00 μB/atom
uncorrected formation energy: 0.261 eV per atom
DOS(E_F): 0.68 states/eV/atom



# 3
SrCuSn2P: optimized geometry, GGA-PBE.

abc: 4.8878 4.8878 5.7787
angles: 90.00 90.00 90.00
Last column: nearest neighbours and their distance in Å.
Fractional coordinates of all 5 atoms:
1 Sr 0.0000 0.0000 0.0000  2 Cu 2.89
2 Cu 0.0000 0.0000 0.5000  4 Sn 2.44
3 Sn 0.0000 0.5000 0.5000  2 Cu 2.44
4 Sn 0.5000 0.0000 0.5000  2 Cu 2.44
5 P 0.5000 0.5000 0.0000  4 Sr 3.46, 8 Sn 3.78

Calculated values
energy of formation: 0.5 eV/f.u.
space group: P4/mmm
total magnetic moment: 0.00 μB/atom
DOS(E_F): 0.51 states/eV/atom